TiSi2P | GGA-PBE | optimized geometry

Summary:
Its space-group type is No. 122. For the total magnetization, the calculation gives 0.00 μB per cell. For the volume, the calculation gives 122.1 Å³/cell. The calculation puts the total energy at -6.03 eV per atom.

```
TiSi2P
1.0
-3.4689 3.4689 2.5362
3.4689 -3.4689 2.5362
3.4689 3.4689 -2.5362
Ti Si P
2 4 2
Cartesian
0.0000 0.0000 0.0000 Ti
0.0000 3.4689 1.2681 Ti
1.7344 1.9169 -0.6341 Si
5.0209 1.7344 0.6341 Si
1.7344 1.5520 1.9022 Si
-1.5520 1.7344 3.1703 Si
3.4689 0.0000 1.2681 P
0.0000 0.0000 2.5362 P
```